Record 1
A plane-wave DFT calculation with PBE-GGA was carried out for an optimized crystal structure of TiHgAs2.

abc: 7.3243 7.3243 7.3243
angles: 131.66 131.66 70.77
Sites, in units of the cell vectors:
Ti  0.0000  0.0000  0.0000
Ti  0.7500  0.2500  0.5000
Hg  0.2500  0.7500  0.5000
Hg  0.5000  0.5000  0.0000
As  0.0911  0.6250  0.9661
As  0.3750  0.3411  0.4661
As  0.6589  0.1250  0.0339
As  0.8750  0.9089  0.5339

## Properties
E_form	-2.48	kcal/mol of atoms
space-group type	I-42d (122)
crystal system	tetragonal
N(E_F)	0.000	states/eV/f.u.
VASP energy	-4.4814	eV per atom

***

Record 2
A plane-wave DFT calculation with PBE-GGA was carried out for an optimized crystal structure of AgHgRh2.

abc: 4.8991 4.8991 2.9241
angles: 90.00 90.00 107.98
Sites, in units of the cell vectors:
Ag  0.0000  0.0000  0.0000
Hg  0.5000  0.5000  0.0000
Rh  0.0000  0.5000  0.5000
Rh  0.5000  0.0000  0.5000

## Properties
E_form	7.08	kcal/mol of atoms
space-group type	Cmmm (65)
crystal system	orthorhombic
N(E_F)	6.438	states/eV/f.u.
VASP energy	-4.1571	eV per atom

***

Record 3
A plane-wave DFT calculation with PBE-GGA was carried out for an optimized crystal structure of SeBrOF2.

abc: 4.8318 4.8318 3.7396
angles: 90.00 90.00 90.00
Sites, in units of the cell vectors:
Se  0.0000  0.0000  0.0000
Br  0.5000  0.5000  0.5000
O  0.5000  0.5000  0.0000
F  0.0000  0.5000  0.5000
F  0.5000  0.0000  0.5000

## Properties
space-group type	P4/mmm (123)
crystal system	tetragonal
N(E_F)	3.010	states/eV/f.u.
energy above the most stable polymorph in this dataset	13.79	kcal/mol of atoms
VASP energy	-2.5263	eV per atom

***

Record 4
A plane-wave DFT calculation with PBE-GGA was carried out for an optimized crystal structure of CdTcP2.

abc: 4.0538 3.2234 5.2249
angles: 90.00 107.18 90.00
Sites, in units of the cell vectors:
Cd  0.0000  0.0000  0.0000
Tc  0.5000  0.5000  0.5000
P  0.0000  0.0000  0.5000
P  0.5000  0.5000  0.0000

## Properties
E_form	9.20	kcal/mol of atoms
space-group type	P2/m (10)
crystal system	monoclinic
N(E_F)	3.211	states/eV/f.u.
VASP energy	-5.1264	eV per atom

***

Record 5
A plane-wave DFT calculation with PBE-GGA was carried out for an optimized crystal structure of Co2PdPt6.

abc: 6.0143 6.0143 9.2970
angles: 112.26 112.26 26.30
Sites, in units of the cell vectors:
Co  0.1420  0.1420  0.2575
Co  0.8580  0.8580  0.7425
Pd  0.5000  0.5000  0.0000
Pt  0.1654  0.1654  0.5479
Pt  0.2387  0.2387  0.8714
Pt  0.4745  0.4745  0.3058
Pt  0.5255  0.5255  0.6942
Pt  0.7613  0.7613  0.1286
Pt  0.8346  0.8346  0.4521

## Properties
E_form	0.73	kcal/mol of atoms
space-group type	C2/m (12)
crystal system	monoclinic
N(E_F)	12.976	states/eV/f.u.
energy above the most stable polymorph in this dataset	2.13	kcal/mol of atoms
VASP energy	-6.1517	eV per atom

***

Record 6
A plane-wave DFT calculation with PBE-GGA was carried out for an optimized crystal structure of Ho2Sc3Tl4.

abc: 5.0653 5.0653 10.2737
angles: 90.05 90.05 60.02
Sites, in units of the cell vectors:
Ho  0.1669  0.1669  0.2748
Ho  0.8331  0.8331  0.7252
Sc  0.1666  0.1666  0.9332
Sc  0.5000  0.5000  0.5000
Sc  0.8334  0.8334  0.0668
Tl  0.1664  0.1664  0.6039
Tl  0.5001  0.5001  0.1520
Tl  0.4999  0.4999  0.8480
Tl  0.8336  0.8336  0.3961

## Properties
E_form	-5.97	kcal/mol of atoms
space-group type	C2/m (12)
crystal system	monoclinic
N(E_F)	6.841	states/eV/f.u.
energy above the most stable polymorph in this dataset	0.00	kcal/mol of atoms
VASP energy	-4.4384	eV per atom

***

Record 7
A plane-wave DFT calculation with PBE-GGA was carried out for an optimized crystal structure of LaMn5.

abc: 4.5378 4.5378 7.6925
angles: 106.37 106.37 41.47
Sites, in units of the cell vectors:
La  0.0000  0.0000  0.0000
Mn  0.3228  0.3228  0.6097
Mn  0.3427  0.3427  0.2527
Mn  0.6378  0.6378  0.7103
Mn  0.6652  0.6652  0.3716
Mn  0.9921  0.9921  0.4634

## Properties
E_form	8.13	kcal/mol of atoms
space-group type	Cm (8)
crystal system	monoclinic
N(E_F)	7.643	states/eV/f.u.
VASP energy	-8.1101	eV per atom

***

Record 8
A plane-wave DFT calculation with PBE-GGA was carried out for an optimized crystal structure of LiSbSe2.

abc: 5.3591 5.3591 3.6729
angles: 107.02 107.02 89.50
Sites, in units of the cell vectors:
Li  0.0000  0.0000  0.0000
Sb  0.5000  0.5000  0.0000
Se  0.0000  0.5000  0.5000
Se  0.5000  0.0000  0.5000

## Properties
space-group type	C2/m (12)
crystal system	monoclinic
N(E_F)	1.640	states/eV/f.u.
VASP energy	-3.5717	eV per atom

***

Record 9
A plane-wave DFT calculation with PBE-GGA was carried out for an optimized crystal structure of La2TmThTe5.

abc: 5.4378 5.4378 11.7762
angles: 90.00 90.00 90.00
Sites, in units of the cell vectors:
La  0.0000  0.0000  0.1707
La  0.0000  0.0000  0.8293
Tm  0.5000  0.5000  0.0000
Th  0.5000  0.5000  0.5000
Te  0.0000  0.0000  0.5000
Te  0.0000  0.5000  0.0000
Te  0.5000  0.0000  0.0000
Te  0.5000  0.5000  0.2505
Te  0.5000  0.5000  0.7495

## Properties
space-group type	P4/mmm (123)
crystal system	tetragonal
N(E_F)	8.571	states/eV/f.u.
VASP energy	-5.0055	eV per atom

***

Record 10
A plane-wave DFT calculation with PBE-GGA was carried out for an optimized crystal structure of LaPbAu.

abc: 6.3670 6.3670 7.8786
angles: 128.18 128.18 44.90
Sites, in units of the cell vectors:
La  0.0000  0.0000  0.0000
La  0.0009  0.0009  0.5197
Pb  0.3259  0.3259  0.1163
Pb  0.6751  0.6751  0.4656
Au  0.3378  0.3378  0.5520
Au  0.6617  0.6617  0.8790

## Properties
E_form	-14.18	kcal/mol of atoms
space-group type	Cm (8)
crystal system	monoclinic
N(E_F)	1.262	states/eV/f.u.
VASP energy	-4.5858	eV per atom

***

Record 11
A plane-wave DFT calculation with PBE-GGA was carried out for an optimized crystal structure of InPb2Cl2.

abc: 8.9542 8.9542 3.7363
angles: 90.00 90.00 90.00
Sites, in units of the cell vectors:
In  0.0000  0.0000  0.0000
In  0.5000  0.5000  0.0000
Pb  0.1993  0.3007  0.0000
Pb  0.3007  0.8007  0.0000
Pb  0.6993  0.1993  0.0000
Pb  0.8007  0.6993  0.0000
Cl  0.1291  0.6291  0.5000
Cl  0.3709  0.1291  0.5000
Cl  0.6291  0.8709  0.5000
Cl  0.8709  0.3709  0.5000

## Properties
space-group type	P4/mbm (127)
crystal system	tetragonal
N(E_F)	2.570	states/eV/f.u.
energy above the most stable polymorph in this dataset	0.00	kcal/mol of atoms
VASP energy	-3.1603	eV per atom

***

Record 12
A plane-wave DFT calculation with PBE-GGA was carried out for an optimized crystal structure of ZnFe2Co.

abc: 8.4736 8.4736 8.4736
angles: 17.41 17.41 17.41
Sites, in units of the cell vectors:
Zn  0.0000  0.0000  0.0000
Fe  0.2465  0.2465  0.2465
Fe  0.7535  0.7535  0.7535
Co  0.5000  0.5000  0.5000

## Properties
E_form	1.60	kcal/mol of atoms
space-group type	R-3m (166)
crystal system	trigonal
N(E_F)	4.919	states/eV/f.u.
VASP energy	-6.2568	eV per atom